Record 1
Material: BeAlAg
Method: DFT, PBE
State: relaxed

Properties
Energy above the lowest structure with this stoichiometry in kJ/mol of atoms: 12.9
VASP energy in eV/cell: -56.78

```
data_BeAlAg
_cell_length_a 5.7822
_cell_length_b 5.7822
_cell_length_c 9.5826
_cell_angle_alpha 90.00
_cell_angle_beta 90.00
_cell_angle_gamma 120.00
_symmetry_space_group_name_H-M 'P 62 2 2'
_symmetry_Int_Tables_number 180
_symmetry_space_group_name_Hall 'P 62 2 (0 0 4)'
loop_
_atom_site_label
_atom_site_fract_x
_atom_site_fract_y
_atom_site_fract_z
_atom_site_occupancy
Be1 0.2028 0.6014 0.1667 1
Al1 0.0000 0.5000 0.3840 1
Ag1 0.0000 0.0000 0.1667 1
Ag2 0.0000 0.5000 0.6667 1
```


Record 2
Material: Zr2PbSe2
Method: DFT, PBE
State: relaxed

Properties
Energy above the lowest structure with this stoichiometry in kJ/mol of atoms: 0.0
Raw formation energy in eV/atom: -0.812
VASP energy in eV/cell: -63.66

```
data_Zr2PbSe2
_cell_length_a 7.952
_cell_length_b 7.952
_cell_length_c 3.453
_cell_angle_alpha 90.00
_cell_angle_beta 90.00
_cell_angle_gamma 90.00
_symmetry_space_group_name_H-M 'P 4/m b m'
_symmetry_Int_Tables_number 127
_symmetry_space_group_name_Hall '-P 4 2ab'
loop_
_atom_site_label
_atom_site_fract_x
_atom_site_fract_y
_atom_site_fract_z
_atom_site_occupancy
Zr1 0.147 0.353 0.000 1
Pb1 0.000 0.000 0.000 1
Se1 0.136 0.636 0.500 1
```


Record 3
Material: RbCoAgBr5
Method: DFT, PBE
State: relaxed

Properties
Raw formation energy in eV/atom: -0.667
VASP energy in eV/cell: -98.49

```
data_RbCoAgBr5
_cell_length_a 9.771
_cell_length_b 12.880
_cell_length_c 9.415
_cell_angle_alpha 90.00
_cell_angle_beta 110.07
_cell_angle_gamma 90.00
_symmetry_space_group_name_H-M 'C 1 2/c 1'
_symmetry_Int_Tables_number 15
loop_
_symmetry_equiv_pos_as_xyz
'x,y,z'
'-x,-y,-z'
'-x,y,-z+1/2'
'x,-y,z+1/2'
'x+1/2,y+1/2,z'
'-x+1/2,-y+1/2,-z'
'-x+1/2,y+1/2,-z+1/2'
'x+1/2,-y+1/2,z+1/2'
loop_
_atom_site_label
_atom_site_fract_x
_atom_site_fract_y
_atom_site_fract_z
_atom_site_occupancy
Rb1 0.000 0.150 0.250 1
Co1 0.000 0.186 0.750 1
Ag1 0.000 0.500 0.000 1
Br1 0.000 0.417 0.250 1
Br2 0.118 0.293 0.625 1
Br3 0.166 0.082 0.934 1
```


Record 4
Material: YMnIr2
Method: DFT, PBE
State: relaxed

Properties
VASP energy in eV/cell: -67.66

```
data_YMnIr2
_cell_length_a 9.004
_cell_length_b 3.110
_cell_length_c 5.206
_cell_angle_alpha 90.00
_cell_angle_beta 104.79
_cell_angle_gamma 90.00
_symmetry_space_group_name_H-M 'C 1 2/m 1'
_symmetry_Int_Tables_number 12
loop_
_symmetry_equiv_pos_as_xyz
'x,y,z'
'-x,-y,-z'
'-x,y,-z'
'x,-y,z'
'x+1/2,y+1/2,z'
'-x+1/2,-y+1/2,-z'
'-x+1/2,y+1/2,-z'
'x+1/2,-y+1/2,z'
loop_
_atom_site_label
_atom_site_fract_x
_atom_site_fract_y
_atom_site_fract_z
_atom_site_occupancy
Y1 0.000 0.000 0.000 1
Mn1 0.000 0.500 0.500 1
Ir1 0.237 0.000 0.700 1
```